No. 1
Crystalline CaAlI2 at its relaxed geometry, computed with GGA-PBE.

For the formation energy without anion corrections, the calculation gives -47 kJ per mole of atoms.

The space group is Fm-3m (No. 225) and the conventional cell measures 7.967, 7.967 and 7.967 Å, with angles of 90.00, 90.00 and 90.00 degrees. The asymmetric unit holds Ca at (0.000, 0.000, 0.000), Al at (0.000, 0.000, 0.500) and I at (0.250, 0.250, 0.250).


No. 2
Crystalline PaSnSe4 at its relaxed geometry, computed with GGA-PBE.

For the formation energy without anion corrections, the calculation gives -86 kJ per mole of atoms.

The space group is C2/m (No. 12) and the conventional cell measures 15.171, 4.112 and 7.069 Å, with angles of 90.00, 117.74 and 90.00 degrees. The asymmetric unit holds Pa at (0.000, 0.000, 0.000), Sn at (0.000, 0.500, 0.500), Se at (0.116, 0.000, 0.441) and Se at (0.117, 0.500, 0.961).


No. 3
Crystalline Sm2TiCuO6 at its relaxed geometry, computed with GGA-PBE.

For the formation energy without anion corrections, the calculation gives -265 kJ per mole of atoms.

The space group is P2_1/c (No. 14) and the conventional cell measures 5.436, 5.879 and 9.256 Å, with angles of 90.00, 125.44 and 90.00 degrees. The asymmetric unit holds Sm at (0.233, 0.075, 0.250), Ti at (0.500, 0.000, 0.000), Cu at (0.000, 0.000, 0.500), O at (0.154, 0.173, 0.949), O at (0.269, 0.707, 0.946) and O at (0.352, 0.035, 0.748).


No. 4
Crystalline CuSnSe2N at its relaxed geometry, computed with GGA-PBE.

For the formation energy without anion corrections, the calculation gives 99 kJ per mole of atoms.

The space group is P4/mmm (No. 123) and the conventional cell measures 5.352, 5.352 and 4.021 Å, with angles of 90.00, 90.00 and 90.00 degrees. The asymmetric unit holds Cu at (0.000, 0.000, 0.000), Sn at (0.500, 0.500, 0.500), Se at (0.000, 0.500, 0.500) and N at (0.500, 0.500, 0.000).


No. 5
Crystalline CaNd3Tm3Se8 at its relaxed geometry, computed with GGA-PBE.

For the formation energy without anion corrections, the calculation gives -179 kJ per mole of atoms.

The space group is R-3m (No. 166, hexagonal axes) and the conventional cell measures 8.1871, 8.1871 and 20.4359 Å, with angles of 90.00, 90.00 and 120.00 degrees. The asymmetric unit holds Ca at (0.0000, 0.0000, 0.0000), Nd at (0.0000, 0.5000, 0.5000), Tm at (0.0000, 0.5000, 0.0000), Se at (0.0000, 0.0000, 0.2561) and Se at (0.0113, 0.5056, 0.2533).


No. 6
Crystalline InAg7Au2 at its relaxed geometry, computed with GGA-PBE.

The value obtained for the formation energy is 0.251 eV/atom.

The space group is Cmmm (No. 65) and the conventional cell measures 7.582, 13.757 and 4.649 Å, with angles of 90.00, 90.00 and 90.00 degrees. The asymmetric unit holds In at (0.000, 0.000, 0.000), Ag at (0.000, 0.198, 0.000), Ag at (0.000, 0.500, 0.500), Ag at (0.182, 0.107, 0.500) and Au at (0.000, 0.298, 0.500).


No. 7
Crystalline Y3Cu2Sn4 at its relaxed geometry, computed with GGA-PBE.

The value obtained for the formation energy is -0.574 eV/atom.

The space group is C2/m (No. 12) and the conventional cell measures 11.454, 4.446 and 8.636 Å, with angles of 90.00, 105.61 and 90.00 degrees. The asymmetric unit holds Y at (0.000, 0.000, 0.000), Y at (0.128, 0.500, 0.691), Cu at (0.206, 0.500, 0.394), Sn at (0.078, 0.000, 0.382) and Sn at (0.203, 0.500, 0.085).


No. 8
Crystalline Ca7Pt at its relaxed geometry, computed with GGA-PBE.

The value obtained for the formation energy is -0.011 eV/atom.

The space group is Fm-3m (No. 225) and the conventional cell measures 10.316, 10.316 and 10.316 Å, with angles of 90.00, 90.00 and 90.00 degrees. The asymmetric unit holds Ca at (0.000, 0.000, 0.000), Ca at (0.000, 0.250, 0.250) and Pt at (0.000, 0.000, 0.500).


No. 9
Crystalline Pm4Sm2Sn3O2 at its relaxed geometry, computed with GGA-PBE.

For the formation energy without anion corrections, the calculation gives -144 kJ per mole of atoms.

The space group is I4/mmm (No. 139) and the conventional cell measures 4.781, 4.781 and 25.705 Å, with angles of 90.00, 90.00 and 90.00 degrees. The asymmetric unit holds Pm at (0.000, 0.500, 0.083), Sm at (0.000, 0.000, 0.194), Sn at (0.000, 0.000, 0.322), Sn at (0.000, 0.000, 0.500) and O at (0.000, 0.000, 0.101).


No. 10
Crystalline Ce2NdHoP4 at its relaxed geometry, computed with GGA-PBE.

The value obtained for the formation energy is -1.537 eV/atom.

The space group is P2/m (No. 10) and the conventional cell measures 7.063, 4.084 and 7.075 Å, with angles of 90.00, 109.49 and 90.00 degrees. The asymmetric unit holds Ce at (0.000, 0.000, 0.000), Ce at (0.000, 0.500, 0.500), Nd at (0.500, 0.000, 0.500), Ho at (0.500, 0.500, 0.000), P at (0.246, 0.500, 0.243) and P at (0.250, 0.000, 0.756).


No. 11
Crystalline LiLaY2 at its relaxed geometry, computed with GGA-PBE.

The value obtained for the formation energy is 0.136 eV/atom.

The space group is Pm (No. 6) and the conventional cell measures 3.583, 5.358 and 6.762 Å, with angles of 90.00, 105.20 and 90.00 degrees. The asymmetric unit holds Li at (0.000, 0.000, 0.000), La at (0.420, 0.500, 0.778), Y at (0.176, 0.500, 0.253) and Y at (0.778, 0.000, 0.474).


No. 12
Crystalline Co2TcSe at its relaxed geometry, computed with GGA-PBE.

For the formation energy without anion corrections, the calculation gives 23 kJ per mole of atoms.

The space group is Pm (No. 6) and the conventional cell measures 2.900, 3.451 and 5.453 Å, with angles of 90.00, 105.36 and 90.00 degrees. The asymmetric unit holds Co at (0.000, 0.000, 0.000), Co at (0.369, 0.500, 0.733), Tc at (0.758, 0.000, 0.515) and Se at (0.583, 0.500, 0.166).


No. 13
Crystalline BaY2CoSe at its relaxed geometry, computed with GGA-PBE.

For the formation energy without anion corrections, the calculation gives 111 kJ per mole of atoms.

The space group is P4/mmm (No. 123) and the conventional cell measures 5.767, 5.767 and 4.545 Å, with angles of 90.00, 90.00 and 90.00 degrees. The asymmetric unit holds Ba at (0.000, 0.000, 0.000), Y at (0.000, 0.500, 0.000), Co at (0.000, 0.000, 0.500) and Se at (0.500, 0.500, 0.500).